(1)
Below is a relaxed Ga2AsI crystal, with properties calculated at the GGA-PBE level.

Formation energy from raw total energies: -0.50 kJ per mole of atoms
M_tot: 0.00 μB/f.u.
Distance to the lowest polymorph of the same formula: 134 meV per atom

```
8
Lattice="-1.927 -3.396 -6.134 6.384 1.781 -2.992 4.018 -4.621 -3.014" Properties=species:S:1:pos:R:3 pbc="T T T"
Ga 6.549 -4.981 -10.075
Ga 4.644 -0.660 -3.739
Ga 5.048 -3.970 -5.853
Ga 0.708 -2.862 -4.612
I 0.000 0.000 0.000
I 2.159 -4.413 -6.855
As 6.315 -1.824 -5.284
As 2.228 -0.808 -4.563
```

(2)
Below is a relaxed ZrMn2Tc2 crystal, with properties calculated at the GGA-PBE level.

ΔH_f (0 K): -0.01 eV per atom
M_tot: 0.00 μB/f.u.
Distance to the lowest polymorph of the same formula: 0 meV per atom

```
5
Lattice="4.026 0.000 0.000 0.000 4.026 0.000 2.013 2.013 4.797" Properties=species:S:1:pos:R:3 pbc="T T T"
Tc 2.013 4.026 2.398
Tc 4.026 2.013 2.398
Mn 2.013 2.013 1.076
Mn 4.026 4.026 3.721
Zr 0.000 0.000 0.000
```

(3)
Below is a relaxed Nd2TmI crystal, with properties calculated at the GGA-PBE level.

Formation energy from raw total energies: -35.84 kJ per mole of atoms
M_tot: 0.00 μB/f.u.
Distance to the lowest polymorph of the same formula: 18 meV per atom

```
4
Lattice="-0.399 -3.100 -2.144 1.301 -3.339 1.235 -9.223 -4.137 4.346" Properties=species:S:1:pos:R:3 pbc="T T T"
Nd -6.352 -7.955 2.632
Nd -1.969 -2.621 0.805
I 0.000 0.000 0.000
Tm -4.160 -5.288 1.718
```

Which value of distance to the lowest polymorph of the same formula does entry 3 give?
18 meV per atom

M_tot of number 1 (Ga2AsI)?
0.00 μB/f.u.